# 1
! KIn4Pb15 PBE-GGA relaxed; values from VASP
&SYSTEM
  ibrav = 0, nat = 20, ntyp = 3
/
ATOMIC_SPECIES
K 39.10 K.upf
In 114.82 In.upf
Pb 207.20 Pb.upf
ATOMIC_POSITIONS crystal
K 0.000 0.000 0.000
In 0.000 0.000 0.201
In 0.000 0.000 0.400
In 0.000 0.000 0.600
In 0.000 0.000 0.799
Pb 0.000 0.500 0.105
Pb 0.000 0.500 0.300
Pb 0.000 0.500 0.500
Pb 0.000 0.500 0.700
Pb 0.000 0.500 0.895
Pb 0.500 0.000 0.105
Pb 0.500 0.000 0.300
Pb 0.500 0.000 0.500
Pb 0.500 0.000 0.700
Pb 0.500 0.000 0.895
Pb 0.500 0.500 0.000
Pb 0.500 0.500 0.203
Pb 0.500 0.500 0.400
Pb 0.500 0.500 0.600
Pb 0.500 0.500 0.797
CELL_PARAMETERS angstrom
4.995 0.000 0.000
0.000 4.995 0.000
0.000 0.000 24.866
! DFT total energy, eV per formula unit: -67.45

---

# 2
! MnFeMo2 PBE-GGA relaxed; values from VASP
&SYSTEM
  ibrav = 0, nat = 8, ntyp = 3
/
ATOMIC_SPECIES
Mn 54.94 Mn.upf
Fe 55.84 Fe.upf
Mo 95.94 Mo.upf
ATOMIC_POSITIONS crystal
Mn 0.000 0.000 0.000
Mn 0.500 0.500 0.500
Fe 0.000 0.500 0.254
Fe 0.500 0.000 0.754
Mo 0.000 0.000 0.502
Mo 0.000 0.500 0.750
Mo 0.500 0.000 0.250
Mo 0.500 0.500 0.002
CELL_PARAMETERS angstrom
3.067 0.000 0.000
0.000 4.264 0.000
0.000 0.000 8.439
! DFT total energy, eV per formula unit: -38.69
! Excess energy over the best structure of this formula in the dataset, eV per atom: 0.042

---

# 3
! Pm2HgPb2 PBE-GGA relaxed; values from VASP
&SYSTEM
  ibrav = 0, nat = 20, ntyp = 3
/
ATOMIC_SPECIES
Pm 145.00 Pm.upf
Hg 200.59 Hg.upf
Pb 207.20 Pb.upf
ATOMIC_POSITIONS crystal
Pm 0.110 0.244 0.001
Pm 0.110 0.256 0.501
Pm 0.366 0.738 0.502
Pm 0.366 0.762 0.002
Pm 0.634 0.238 0.998
Pm 0.634 0.262 0.498
Pm 0.890 0.744 0.499
Pm 0.890 0.756 0.999
Hg 0.382 0.085 0.715
Hg 0.382 0.415 0.215
Hg 0.618 0.585 0.785
Hg 0.618 0.915 0.285
Pb 0.116 0.588 0.250
Pb 0.116 0.912 0.750
Pb 0.333 0.063 0.261
Pb 0.333 0.437 0.761
Pb 0.667 0.563 0.239
Pb 0.667 0.937 0.739
Pb 0.884 0.088 0.250
Pb 0.884 0.412 0.750
CELL_PARAMETERS angstrom
9.479 0.000 0.000
0.000 8.257 0.000
-0.099 0.000 7.891
! DFT total energy, eV per formula unit: -19.22
! Excess energy over the best structure of this formula in the dataset, eV per atom: 0.000

---

# 4
! Ca8InPt2 PBE-GGA relaxed; values from VASP
&SYSTEM
  ibrav = 0, nat = 11, ntyp = 3
/
ATOMIC_SPECIES
Ca 40.08 Ca.upf
In 114.82 In.upf
Pt 195.08 Pt.upf
ATOMIC_POSITIONS crystal
Ca 0.061 0.327 0.579
Ca 0.246 0.754 0.000
Ca 0.327 0.061 0.579
Ca 0.379 0.379 0.200
Ca 0.621 0.621 0.800
Ca 0.673 0.939 0.421
Ca 0.754 0.246 0.000
Ca 0.939 0.673 0.421
In 0.000 0.000 0.000
Pt 0.316 0.684 0.500
Pt 0.684 0.316 0.500
CELL_PARAMETERS angstrom
4.576 -6.731 0.000
4.576 6.731 0.000
-1.344 0.000 5.563
! DFT total energy, eV per formula unit: -36.53

---

# 5
! CrSeN PBE-GGA relaxed; values from VASP
&SYSTEM
  ibrav = 0, nat = 6, ntyp = 3
/
ATOMIC_SPECIES
Cr 52.00 Cr.upf
Se 78.96 Se.upf
N 14.01 N.upf
ATOMIC_POSITIONS crystal
Cr 0.001 0.375 0.366
Cr 0.999 0.625 0.634
Se 0.001 0.739 0.272
Se 0.999 0.261 0.728
N 0.498 0.713 0.727
N 0.502 0.287 0.273
CELL_PARAMETERS angstrom
2.905 0.000 0.000
0.006 6.651 0.000
0.025 1.308 6.527
! DFT total energy, eV per formula unit: -21.67

---

# 6
! La2SnGe PBE-GGA relaxed; values from VASP
&SYSTEM
  ibrav = 0, nat = 8, ntyp = 3
/
ATOMIC_SPECIES
La 138.91 La.upf
Sn 118.71 Sn.upf
Ge 72.64 Ge.upf
ATOMIC_POSITIONS crystal
La 0.194 0.250 0.424
La 0.283 0.750 0.061
La 0.717 0.250 0.939
La 0.806 0.750 0.576
Sn 0.373 0.750 0.710
Sn 0.627 0.250 0.290
Ge 0.122 0.250 0.794
Ge 0.878 0.750 0.206
CELL_PARAMETERS angstrom
6.320 0.000 0.000
0.000 4.273 0.000
-2.705 0.000 8.804
! DFT total energy, eV per formula unit: -21.72

---

# 7
! BaNa6Hg4 PBE-GGA relaxed; values from VASP
&SYSTEM
  ibrav = 0, nat = 11, ntyp = 3
/
ATOMIC_SPECIES
Ba 137.33 Ba.upf
Na 22.99 Na.upf
Hg 200.59 Hg.upf
ATOMIC_POSITIONS crystal
Ba 0.000 0.000 0.000
Na 0.204 0.407 0.500
Na 0.204 0.796 0.500
Na 0.538 0.076 0.000
Na 0.538 0.462 0.000
Na 0.593 0.796 0.500
Na 0.924 0.462 0.000
Hg 0.333 0.667 0.000
Hg 0.350 0.175 0.500
Hg 0.825 0.175 0.500
Hg 0.825 0.650 0.500
CELL_PARAMETERS angstrom
9.419 0.000 0.000
-4.710 8.157 0.000
0.000 0.000 4.515
! DFT total energy, eV per formula unit: -13.54

---

# 8
! NpHgSb PBE-GGA relaxed; values from VASP
&SYSTEM
  ibrav = 0, nat = 12, ntyp = 3
/
ATOMIC_SPECIES
Np 237.00 Np.upf
Hg 200.59 Hg.upf
Sb 121.76 Sb.upf
ATOMIC_POSITIONS crystal
Np 0.000 0.000 0.162
Np 0.000 0.000 0.838
Np 0.500 0.500 0.338
Np 0.500 0.500 0.662
Hg 0.000 0.253 0.000
Hg 0.000 0.747 0.000
Hg 0.500 0.247 0.500
Hg 0.500 0.753 0.500
Sb 0.000 0.000 0.332
Sb 0.000 0.000 0.668
Sb 0.500 0.500 0.168
Sb 0.500 0.500 0.832
CELL_PARAMETERS angstrom
3.108 0.000 0.000
0.000 5.688 0.000
0.000 0.000 18.485
! DFT total energy, eV per formula unit: -17.11
! Excess energy over the best structure of this formula in the dataset, eV per atom: 0.060